## MnTe2Br (PBE)

Data for a relaxed structure of MnTe2Br.

Structure (POSCAR):
```
MnTe2Br
1.0
6.823 0.000 0.000
0.000 6.823 0.000
3.412 3.412 5.482
Mn Te Br
2 4 2
direct
0.500 0.500 0.000
0.250 0.750 0.500
0.518 0.125 0.250
0.232 0.625 0.250
0.375 0.482 0.750
0.875 0.768 0.750
0.000 0.000 0.000
0.750 0.250 0.500
```

Properties
raw formation energy: 0.686 eV/f.u.
M_tot: 0.00 μB per cell
Fermi-level density of states: 8.4 states/eV per cell
space group: No. 122
distance to the lowest polymorph of the same formula: 417 meV/atom
uncorrected energy: -4.110 eV/atom